1.
This record from the Alexandria database describes an optimized crystal structure of DyTc2Os. The functional is GGA-PBE.

Cell and atoms, written as CIF:
```
data_DyTc2Os
_chemical_formula_sum 'Dy4 Tc8 Os4'
_space_group_name_H-M_alt 'P n m a'
_space_group_IT_number 62
_space_group_name_Hall '-P 2ac 2n'
_cell_length_a 6.6436
_cell_length_b 4.3731
_cell_length_c 9.7723
_cell_angle_alpha 90.00
_cell_angle_beta 90.00
_cell_angle_gamma 90.00
loop_
_atom_site_label
_atom_site_fract_x
_atom_site_fract_y
_atom_site_fract_z
Dy1 0.2482 0.2500 0.1775
Tc1 0.0503 0.7500 0.3480
Tc2 0.1924 0.2500 0.4682
Os1 0.0582 0.2500 0.9071
```

Energy of formation ... -0.028 eV per atom
D(E_F) ... 13.26 states/eV per cell
Energy ... -9.1691 eV per atom

=====

2.
This record from the Alexandria database describes an optimized crystal structure of Dy2Tc3Os. The functional is GGA-PBE.

Cell and atoms, written as CIF:
```
data_Dy2Tc3Os
_chemical_formula_sum 'Dy4 Tc6 Os2'
_space_group_name_H-M_alt 'C 1 2/m 1'
_space_group_IT_number 12
_space_group_name_Hall '-C 2y'
_cell_length_a 9.1348
_cell_length_b 5.2979
_cell_length_c 5.5139
_cell_angle_alpha 90.00
_cell_angle_beta 123.97
_cell_angle_gamma 90.00
loop_
_atom_site_label
_atom_site_fract_x
_atom_site_fract_y
_atom_site_fract_z
Dy1 0.1257 0.0000 0.3768
Tc1 0.0000 0.5000 0.0000
Tc2 0.2500 0.2500 0.0000
Os1 0.0000 0.5000 0.5000
```

Energy of formation ... -0.190 eV per atom
D(E_F) ... 13.19 states/eV per cell
Energy ... -8.7791 eV per atom

=====

3.
This record from the Alexandria database describes an optimized crystal structure of Dy8TcOs2. The functional is GGA-PBE.

Cell and atoms, written as CIF:
```
data_Dy8TcOs2
_chemical_formula_sum 'Dy16 Tc2 Os4'
_space_group_name_H-M_alt 'C 1 m 1'
_space_group_IT_number 8
_space_group_name_Hall 'C -2y'
_cell_length_a 8.4161
_cell_length_b 12.5504
_cell_length_c 5.7339
_cell_angle_alpha 90.00
_cell_angle_beta 108.39
_cell_angle_gamma 90.00
loop_
_atom_site_label
_atom_site_fract_x
_atom_site_fract_y
_atom_site_fract_z
Dy1 0.0000 0.0000 0.0000
Dy2 0.0580 0.3716 0.7896
Dy3 0.1586 0.1284 0.6005
Dy4 0.2183 0.5000 0.3801
Dy5 0.3629 0.2179 0.1899
Tc1 0.3573 0.0000 0.1052
Os1 0.3555 0.3120 0.6877
```

Energy of formation ... -0.097 eV per atom
D(E_F) ... 18.30 states/eV per cell
Energy ... -6.4282 eV per atom

=====

4.
This record from the Alexandria database describes an optimized crystal structure of DyUTcOs. The functional is GGA-PBE.

Cell and atoms, written as CIF:
```
data_DyUTcOs
_chemical_formula_sum 'Dy4 U4 Tc4 Os4'
_space_group_name_H-M_alt 'F -4 3 m'
_space_group_IT_number 216
_space_group_name_Hall 'F -4 2 3'
_cell_length_a 6.8003
_cell_length_b 6.8003
_cell_length_c 6.8003
_cell_angle_alpha 90.00
_cell_angle_beta 90.00
_cell_angle_gamma 90.00
loop_
_atom_site_label
_atom_site_fract_x
_atom_site_fract_y
_atom_site_fract_z
Dy1 0.0000 0.0000 0.0000
U1 0.0000 0.0000 0.5000
Tc1 0.2500 0.2500 0.2500
Os1 0.2500 0.2500 0.7500
```

Energy of formation ... -0.010 eV per atom
D(E_F) ... 36.53 states/eV per cell
Energy ... -9.3815 eV per atom

=====

5.
This record from the Alexandria database describes an optimized crystal structure of DyZrTcOs. The functional is GGA-PBE.

Cell and atoms, written as CIF:
```
data_DyZrTcOs
_chemical_formula_sum 'Dy4 Zr4 Tc4 Os4'
_space_group_name_H-M_alt 'F -4 3 m'
_space_group_IT_number 216
_space_group_name_Hall 'F -4 2 3'
_cell_length_a 6.6939
_cell_length_b 6.6939
_cell_length_c 6.6939
_cell_angle_alpha 90.00
_cell_angle_beta 90.00
_cell_angle_gamma 90.00
loop_
_atom_site_label
_atom_site_fract_x
_atom_site_fract_y
_atom_site_fract_z
Dy1 0.0000 0.0000 0.0000
Zr1 0.0000 0.0000 0.5000
Tc1 0.2500 0.2500 0.2500
Os1 0.2500 0.2500 0.7500
```

Energy of formation ... -0.166 eV per atom
D(E_F) ... 23.01 states/eV per cell
Energy ... -8.8530 eV per atom

=====

6.
This record from the Alexandria database describes an optimized crystal structure of DyTeOs. The functional is GGA-PBE.

Cell and atoms, written as CIF:
```
data_DyTeOs
_chemical_formula_sum 'Dy4 Te4 Os4'
_space_group_name_H-M_alt 'A m m 2'
_space_group_IT_number 38
_space_group_name_Hall 'A 2 -2'
_cell_length_a 11.7303
_cell_length_b 3.6869
_cell_length_c 6.8123
_cell_angle_alpha 90.00
_cell_angle_beta 90.00
_cell_angle_gamma 90.00
loop_
_atom_site_label
_atom_site_fract_x
_atom_site_fract_y
_atom_site_fract_z
Dy1 0.1475 0.0000 0.0000
Te1 0.3648 0.0000 0.3383
Os1 0.0000 0.0000 0.3153
Os2 0.5000 0.0000 0.0128
```

D(E_F) ... 12.77 states/eV per cell
Energy ... -6.2341 eV per atom

=====

7.
This record from the Alexandria database describes an optimized crystal structure of Dy5Te2Os2. The functional is GGA-PBE.

Cell and atoms, written as CIF:
```
data_Dy5Te2Os2
_chemical_formula_sum 'Dy20 Te8 Os8'
_space_group_name_H-M_alt 'C m c e'
_space_group_IT_number 64
_space_group_name_Hall '-C 2ac 2'
_cell_length_a 15.8425
_cell_length_b 7.7656
_cell_length_c 7.7033
_cell_angle_alpha 90.00
_cell_angle_beta 90.00
_cell_angle_gamma 90.00
loop_
_atom_site_label
_atom_site_fract_x
_atom_site_fract_y
_atom_site_fract_z
Dy1 0.0000 0.0000 0.0000
Dy2 0.1187 0.1749 0.3275
Te1 0.2120 0.0000 0.0000
Os1 0.0000 0.1169 0.6143
```

D(E_F) ... 16.16 states/eV per cell
Energy ... -6.5044 eV per atom

=====

8.
This record from the Alexandria database describes an optimized crystal structure of Dy4Te3Os. The functional is GGA-PBE.

Cell and atoms, written as CIF:
```
data_Dy4Te3Os
_chemical_formula_sum 'Dy8 Te6 Os2'
_space_group_name_H-M_alt 'C m m m'
_space_group_IT_number 65
_space_group_name_Hall '-C 2 2'
_cell_length_a 8.8557
_cell_length_b 12.3058
_cell_length_c 4.2226
_cell_angle_alpha 90.00
_cell_angle_beta 90.00
_cell_angle_gamma 90.00
loop_
_atom_site_label
_atom_site_fract_x
_atom_site_fract_y
_atom_site_fract_z
Dy1 0.0000 0.2194 0.0000
Dy2 0.2144 0.0000 0.5000
Te1 0.0000 0.5000 0.0000
Te2 0.2500 0.2500 0.5000
Os1 0.0000 0.0000 0.0000
```

D(E_F) ... 9.81 states/eV per cell
Energy ... -5.8799 eV per atom

=====

9.
This record from the Alexandria database describes an optimized crystal structure of Dy4TeOs. The functional is GGA-PBE.

Cell and atoms, written as CIF:
```
data_Dy4TeOs
_chemical_formula_sum 'Dy16 Te4 Os4'
_space_group_name_H-M_alt 'C 1 2/c 1'
_space_group_IT_number 15
_space_group_name_Hall '-C 2yc'
_cell_length_a 9.2764
_cell_length_b 14.3947
_cell_length_c 6.8224
_cell_angle_alpha 90.00
_cell_angle_beta 125.51
_cell_angle_gamma 90.00
loop_
_atom_site_label
_atom_site_fract_x
_atom_site_fract_y
_atom_site_fract_z
Dy1 0.1564 0.2158 0.1496
Dy2 0.2059 0.0413 0.7308
Te1 0.0000 0.3865 0.7500
Os1 0.0000 0.0900 0.2500
```

Polymorph energy (0 for the lowest one) ... 111 kJ/mol of formula units
D(E_F) ... 19.79 states/eV per cell
Energy ... -5.8903 eV per atom

=====

10.
This record from the Alexandria database describes an optimized crystal structure of Dy3TeOs. The functional is GGA-PBE.

Cell and atoms, written as CIF:
```
data_Dy3TeOs
_chemical_formula_sum 'Dy12 Te4 Os4'
_space_group_name_H-M_alt 'C 1 2/m 1'
_space_group_IT_number 12
_space_group_name_Hall '-C 2y'
_cell_length_a 15.2368
_cell_length_b 4.7398
_cell_length_c 8.8009
_cell_angle_alpha 90.00
_cell_angle_beta 118.33
_cell_angle_gamma 90.00
loop_
_atom_site_label
_atom_site_fract_x
_atom_site_fract_y
_atom_site_fract_z
Dy1 0.0625 0.0000 0.2034
Dy2 0.1058 0.5000 0.8095
Dy3 0.2460 0.5000 0.2310
Te1 0.1315 0.5000 0.4694
Os1 0.1655 0.0000 0.0035
```

D(E_F) ... 13.71 states/eV per cell
Energy ... -6.2437 eV per atom

=====

11.
This record from the Alexandria database describes an optimized crystal structure of Dy4TeOs. The functional is GGA-PBE.

Cell and atoms, written as CIF:
```
data_Dy4TeOs
_chemical_formula_sum 'Dy16 Te4 Os4'
_space_group_name_H-M_alt 'P n m a'
_space_group_IT_number 62
_space_group_name_Hall '-P 2ac 2n'
_cell_length_a 8.0528
_cell_length_b 4.0643
_cell_length_c 19.4815
_cell_angle_alpha 90.00
_cell_angle_beta 90.00
_cell_angle_gamma 90.00
loop_
_atom_site_label
_atom_site_fract_x
_atom_site_fract_y
_atom_site_fract_z
Dy1 0.9995 0.2500 0.0672
Dy2 0.0488 0.2500 0.7865
Dy3 0.1373 0.2500 0.3569
Dy4 0.1396 0.2500 0.5453
Te1 0.2461 0.7500 0.6926
Os1 0.2466 0.7500 0.4493
```

Polymorph energy (0 for the lowest one) ... 0 kJ/mol of formula units
D(E_F) ... 20.51 states/eV per cell
Energy ... -6.0818 eV per atom

=====

12.
This record from the Alexandria database describes an optimized crystal structure of Dy3Th2Os2. The functional is GGA-PBE.

Cell and atoms, written as CIF:
```
data_Dy3Th2Os2
_chemical_formula_sum 'Dy6 Th4 Os4'
_space_group_name_H-M_alt 'C 1 2/m 1'
_space_group_IT_number 12
_space_group_name_Hall '-C 2y'
_cell_length_a 12.2761
_cell_length_b 3.9429
_cell_length_c 8.3460
_cell_angle_alpha 90.00
_cell_angle_beta 111.02
_cell_angle_gamma 90.00
loop_
_atom_site_label
_atom_site_fract_x
_atom_site_fract_y
_atom_site_fract_z
Dy1 0.0000 0.0000 0.0000
Dy2 0.1260 0.0000 0.4231
Th1 0.1600 0.5000 0.8079
Os1 0.1846 0.5000 0.2043
```

Energy of formation ... -0.249 eV per atom
D(E_F) ... 14.73 states/eV per cell
Energy ... -7.5496 eV per atom

=====

no.,total moment (μB/f.u.)
1,0.00
2,0.00
3,0.00
4,1.18
5,0.00
6,0.00
7,0.00
8,0.00
9,0.00
10,0.00
11,0.00
12,0.00